## InIr2Au (GGA-PBE)

Data for an optimized crystal structure of InIr2Au.

Unit cell a=9.990 b=9.990 c=9.990 alpha=157.09 beta=157.09 gamma=32.62
Element x y z (fractional)
In 0.000 0.000 0.000
In 0.750 0.250 0.500
Ir 0.178 0.625 0.053
Ir 0.375 0.428 0.553
Ir 0.572 0.125 0.947
Ir 0.875 0.822 0.447
Au 0.250 0.750 0.500
Au 0.500 0.500 0.000

Properties
As for the crystal system: tetragonal. Its symmetry is I-42d (122). The energy of formation comes out at 484.8 meV per atom. As for the density of states at the Fermi level: 10.1 states/eV/cell.



## InIr2Au (GGA-PBE)

Data for an optimized crystal structure of InIr2Au.

Unit cell a=2.874 b=3.911 c=5.994 alpha=90.00 beta=90.00 gamma=90.00
Element x y z (fractional)
In 0.000 0.000 0.000
Ir 0.000 0.000 0.473
Ir 0.500 0.500 0.261
Au 0.500 0.500 0.731

Properties
As for the crystal system: orthorhombic. Its symmetry is Pmm2 (25). The energy of formation comes out at 196.8 meV per atom. As for the density of states at the Fermi level: 4.0 states/eV/cell.



## InIr2Au (GGA-PBE)

Data for an optimized crystal structure of InIr2Au.

Unit cell a=4.579 b=4.579 c=4.579 alpha=60.00 beta=60.00 gamma=60.00
Element x y z (fractional)
In 0.000 0.000 0.000
Ir 0.250 0.250 0.250
Ir 0.500 0.500 0.500
Au 0.750 0.750 0.750

Properties
As for the crystal system: cubic. Its symmetry is F-43m (216). The energy of formation comes out at 338.0 meV per atom. As for the density of states at the Fermi level: 4.7 states/eV/cell.



## InIrAu (GGA-PBE)

Data for an optimized crystal structure of InIrAu.

Unit cell a=5.142 b=5.142 c=5.142 alpha=145.47 beta=135.88 gamma=57.20
Element x y z (fractional)
In 0.000 0.000 0.000
Ir 0.651 0.651 0.000
Au 0.324 0.324 0.000

Properties
The distance to the lowest polymorph of the same formula comes out at 0.005 eV/atom. As for the crystal system: orthorhombic. Its symmetry is Imm2 (44). The energy of formation comes out at 140.0 meV per atom. As for the density of states at the Fermi level: 1.7 states/eV/cell.



## In2IrAu (GGA-PBE)

Data for an optimized crystal structure of In2IrAu.

Unit cell a=5.830 b=5.830 c=5.830 alpha=43.55 beta=43.55 gamma=43.55
Element x y z (fractional)
In 0.000 0.000 0.000
In 0.196 0.196 0.196
Ir 0.602 0.602 0.602
Au 0.423 0.423 0.423

Properties
The distance to the lowest polymorph of the same formula comes out at 0.051 eV/atom. As for the crystal system: trigonal. Its symmetry is R3m (160). The energy of formation comes out at 15.4 meV per atom. As for the density of states at the Fermi level: 1.6 states/eV/cell.



## In2IrAu (GGA-PBE)

Data for an optimized crystal structure of In2IrAu.

Unit cell a=5.378 b=5.378 c=5.378 alpha=135.90 beta=135.90 gamma=64.14
Element x y z (fractional)
In 0.000 0.000 0.000
In 0.750 0.250 0.500
Ir 0.250 0.750 0.500
Au 0.500 0.500 0.000

Properties
The distance to the lowest polymorph of the same formula comes out at 0.023 eV/atom. As for the crystal system: tetragonal. Its symmetry is I-4m2 (119). The energy of formation comes out at -13.0 meV per atom. As for the density of states at the Fermi level: 1.2 states/eV/cell.



| no. | total energy (eV/atom) |
| --- | --- |
| 1 | -5.45 |
| 2 | -5.74 |
| 3 | -5.60 |
| 4 | -4.82 |
| 5 | -4.39 |
| 6 | -4.42 |